First-principles (PBE with a Hubbard U) data for crystalline Cs2NaNi3F12 at its relaxed geometry, as listed in Alexandria.

a b c (Å): 7.3143 7.3143 7.3143
angles (deg): 60.63 60.63 60.63
Closest atoms and distances in Å follow each position.
Atoms (fractional coordinates):
Ni (0.0000, 0.5000, 0.0000)  6 F 1.80-1.95
F (0.6955, 0.6955, 0.0877)  2 Ni 1.95
Na (0.0000, 0.0000, 0.0000)  6 F 2.31
F (0.0877, 0.6955, 0.6955)  2 Ni 1.95
F (0.6955, 0.0877, 0.6955)  2 Ni 1.95
F (0.0893, 0.6233, 0.0893)  1 Ni 1.80
F (0.9107, 0.9107, 0.3767)  1 Ni 1.80
F (0.9107, 0.3767, 0.9107)  1 Ni 1.80
Ni (0.5000, 0.0000, 0.0000)  6 F 1.80-1.95
F (0.3045, 0.9123, 0.3045)  2 Ni 1.95
F (0.3045, 0.3045, 0.9123)  2 Ni 1.95
F (0.0893, 0.0893, 0.6233)  1 Ni 1.80
F (0.6233, 0.0893, 0.0893)  1 Ni 1.80
F (0.3767, 0.9107, 0.9107)  1 Ni 1.80
Cs (0.3834, 0.3834, 0.3834)  9 F 3.08-3.40
Cs (0.6166, 0.6166, 0.6166)  9 F 3.08-3.40
F (0.9123, 0.3045, 0.3045)  2 Ni 1.95
Ni (0.0000, 0.0000, 0.5000)  6 F 1.80-1.95

For the calculated total energy, the calculation gives -3.987 eV per atom. As for the total magnetization: 3.00 μB/cell.